Entry 1:
VASP calculation (PBE) on a relaxed structure of Ba2ZrMo.

Computed properties:
Energy relative to the elements: 0.98 eV/atom
Spin magnetization: 0.00 μB/cell
Energy above the most stable polymorph in this dataset: 478 meV per atom
Electronic total energy: -4.8243 eV/atom

Structure (extended XYZ):
```
8
Lattice="12.483 0.000 0.000 0.000 12.483 0.000 6.242 6.242 2.434" Properties=species:S:1:pos:R:3 pbc="T T T"
Mo 0.000 0.000 0.000
Mo 12.483 6.242 1.217
Ba 11.631 3.121 0.608
Ba 13.336 9.363 0.608
Ba 9.363 7.094 1.825
Ba 15.604 5.389 1.825
Zr 6.242 6.242 0.000
Zr 6.242 12.483 1.217
```

Entry 2:
VASP calculation (PBE) on a relaxed structure of GePtSe2.

Computed properties:
Spin magnetization: 0.00 μB/cell
Electronic total energy: -4.4127 eV/atom

Structure (extended XYZ):
```
4
Lattice="2.124 0.000 8.309 -1.062 1.840 8.309 -1.062 -1.840 8.309" Properties=species:S:1:pos:R:3 pbc="T T T"
Ge 0.000 0.000 0.000
Se 0.000 0.000 22.150
Se 0.000 0.000 2.778
Pt 0.000 0.000 12.464
```